Below is an optimized crystal structure of GaFeRuO6, with properties calculated at the GGA+U level.

Output
- E (eV/atom) = -6.46

a b c (Å): 5.0275 5.0275 8.7521
angles (deg): 90.00 90.00 120.00
Space group P-31c (No. 163)
Unique sites:
Ga: 0.3333 0.6667 0.2500
Fe: 0.0000 0.0000 0.0000
Ru: 0.3333 0.6667 0.7500
O: 0.0077 0.3471 0.6284